Computed, not measured: TaCuRh2 after structural relaxation at the PBE-GGA level of DFT.

Summary:
The formation energy is -0.458 eV/atom. The calculation puts the density at 12.949 Mg/m³. The value obtained for the total energy is -32.48 eV for the cell shown. As for the calculated volume: 14.4 Å³/atom.

Unit cell a=4.012 b=4.012 c=3.587 alpha=90.00 beta=90.00 gamma=90.00
Space group P4/mmm (No. 123)
Asymmetric unit:
1 Ta 0.000 0.000 0.000 x1
2 Cu 0.500 0.500 0.000 x1
3 Rh 0.000 0.500 0.500 x2